Material: Tb2NdHo4Mg
Method: DFT, PBE-GGA
State: optimized geometry

* spin magnetization: 0.85 μB/cell
* mass density: 7.7 g cm⁻³
* E_form: 0.110 eV/atom
* uncorrected energy: -4.132 eV/atom

a = 5.7658 Å, b = 5.7658 Å, c = 7.4590 Å
α = 90.00°, β = 90.00°, γ = 90.00°
With the nearest neighbours (Å) after each atom.
Element x y z (fractional)
Tb1 0.0000 0.0000 0.0000  8 Ho 3.46, 2 Nd 3.73
Tb2 0.5000 0.5000 0.0000  8 Ho 3.46, 2 Mg 3.73
Nd1 0.0000 0.0000 0.5000  8 Ho 3.41, 2 Tb 3.73
Ho1 0.0000 0.5000 0.2566  2 Mg 3.41, 2 Nd 3.41, 4 Tb 3.46, 1 Ho 3.63
Ho2 0.0000 0.5000 0.7434  2 Mg 3.41, 2 Nd 3.41, 4 Tb 3.46, 1 Ho 3.63
Ho3 0.5000 0.0000 0.2566  2 Mg 3.41, 2 Nd 3.41, 4 Tb 3.46, 1 Ho 3.63
Ho4 0.5000 0.0000 0.7434  2 Mg 3.41, 2 Nd 3.41, 4 Tb 3.46, 1 Ho 3.63
Mg1 0.5000 0.5000 0.5000  8 Ho 3.41, 2 Tb 3.73